(1)
VASP calculation (PBE) on a geometry-optimized Nd4Y7In structure.

a = 5.958 Å, b = 8.667 Å, c = 9.743 Å
α = 60.71°, β = 72.19°, γ = 69.90°
Fractional positions:
Nd 0.731 0.811 0.727
Nd 0.269 0.189 0.273
Nd 0.598 0.288 0.515
Nd 0.402 0.712 0.485
Y 0.284 0.535 0.896
Y 0.160 0.013 0.667
Y 0.935 0.404 0.725
Y 0.840 0.987 0.333
Y 0.500 0.000 0.000
Y 0.065 0.596 0.275
Y 0.716 0.465 0.104
In 0.000 0.000 0.000

Properties
The calculation puts the formation energy at 0.121 eV/atom. Its space-group type is No. 12. For the volume, the calculation gives 33.8 Å³/atom. The size of the total moment comes out at 0.00 μB/f.u. Its crystal system is monoclinic.

***

(2)
VASP calculation (PBE) on a geometry-optimized Nd9Y4In11 structure.

a = 3.538 Å, b = 14.097 Å, c = 14.097 Å
α = 100.22°, β = 90.00°, γ = 90.00°
Fractional positions:
In 0.000 0.000 0.000
In 0.000 0.760 0.760
In 0.000 0.240 0.240
In 0.000 0.421 0.067
In 0.000 0.635 0.365
In 0.000 0.067 0.421
In 0.000 0.933 0.579
In 0.000 0.833 0.167
In 0.000 0.365 0.635
In 0.000 0.167 0.833
In 0.000 0.579 0.933
Nd 0.500 0.035 0.209
Nd 0.500 0.791 0.965
Nd 0.500 0.143 0.626
Nd 0.500 0.626 0.143
Nd 0.500 0.500 0.500
Nd 0.500 0.965 0.791
Nd 0.500 0.857 0.374
Nd 0.500 0.209 0.035
Nd 0.500 0.374 0.857
Y 0.500 0.738 0.568
Y 0.500 0.432 0.262
Y 0.500 0.262 0.432
Y 0.500 0.568 0.738

Properties
The calculation puts the formation energy at -0.417 eV/atom. Its space-group type is No. 65. For the volume, the calculation gives 28.8 Å³/atom. The size of the total moment comes out at 0.00 μB/f.u. Its crystal system is orthorhombic.

***

(3)
VASP calculation (PBE) on a geometry-optimized Nd2YIn6 structure.

a = 4.688 Å, b = 8.715 Å, c = 8.715 Å
α = 51.09°, β = 74.40°, γ = 74.40°
Fractional positions:
In 0.689 0.008 0.614
In 0.689 0.614 0.008
In 0.500 0.297 0.703
In 0.311 0.992 0.386
In 0.500 0.703 0.297
In 0.311 0.386 0.992
Nd 0.121 0.379 0.379
Nd 0.879 0.621 0.621
Y 0.000 0.000 0.000

Properties
The calculation puts the formation energy at -0.304 eV/atom. Its space-group type is No. 71. For the volume, the calculation gives 29.4 Å³/atom. The size of the total moment comes out at 0.00 μB/f.u. Its crystal system is orthorhombic. The calculation puts the energy above the most stable polymorph in this dataset at 3.35 kcal/mol of atoms.

***

(4)
VASP calculation (PBE) on a geometry-optimized Nd6Y2In structure.

a = 6.439 Å, b = 11.462 Å, c = 11.462 Å
α = 47.73°, β = 106.34°, γ = 106.34°
Fractional positions:
Nd 0.442 0.007 0.150
Nd 0.716 0.507 0.651
Nd 0.284 0.493 0.349
Nd 0.558 0.993 0.850
Nd 0.216 0.651 0.507
Nd 0.942 0.150 0.007
Nd 0.082 0.082 0.582
Nd 0.418 0.418 0.918
Nd 0.582 0.582 0.082
Nd 0.918 0.918 0.418
Nd 0.784 0.349 0.493
Nd 0.058 0.850 0.993
Y 0.918 0.327 0.173
Y 0.082 0.673 0.827
Y 0.418 0.173 0.327
Y 0.582 0.827 0.673
In 0.750 0.750 0.250
In 0.250 0.250 0.750

Properties
The calculation puts the formation energy at -0.050 eV/atom. Its space-group type is No. 72. For the volume, the calculation gives 33.1 Å³/atom. The size of the total moment comes out at 0.00 μB/f.u. Its crystal system is orthorhombic. The calculation puts the energy above the most stable polymorph in this dataset at 0.46 kcal/mol of atoms.

***

(5)
VASP calculation (PBE) on a geometry-optimized Nd3YIn structure.

a = 5.492 Å, b = 7.510 Å, c = 8.021 Å
α = 90.00°, β = 90.00°, γ = 90.00°
Fractional positions:
Nd 0.750 0.959 0.785
Nd 0.250 0.041 0.215
Nd 0.750 0.750 0.275
Nd 0.250 0.459 0.215
Nd 0.250 0.250 0.725
Nd 0.750 0.541 0.785
In 0.250 0.750 0.932
In 0.750 0.250 0.068
Y 0.250 0.750 0.555
Y 0.750 0.250 0.445

Properties
The calculation puts the formation energy at -0.103 eV/atom. Its space-group type is No. 59. For the volume, the calculation gives 33.1 Å³/atom. The size of the total moment comes out at 0.00 μB/f.u. Its crystal system is orthorhombic. The calculation puts the energy above the most stable polymorph in this dataset at 2.05 kcal/mol of atoms.

***

(6)
VASP calculation (PBE) on a geometry-optimized Nd2Y6In structure.

a = 6.595 Å, b = 14.034 Å, c = 6.595 Å
α = 79.96°, β = 83.95°, γ = 79.96°
Fractional positions:
Y 0.585 0.570 0.143
Y 0.219 0.436 0.387
Y 0.613 0.064 0.781
Y 0.011 0.125 0.066
Y 0.989 0.875 0.934
Y 0.415 0.430 0.857
Y 0.857 0.930 0.415
Y 0.387 0.936 0.219
Y 0.934 0.375 0.989
Y 0.066 0.625 0.011
Y 0.781 0.564 0.613
Y 0.143 0.070 0.585
Nd 0.524 0.806 0.771
Nd 0.229 0.694 0.476
Nd 0.476 0.194 0.229
Nd 0.771 0.306 0.524
In 0.281 0.250 0.719
In 0.719 0.750 0.281

Properties
The calculation puts the formation energy at -0.038 eV/atom. Its space-group type is No. 15. For the volume, the calculation gives 32.8 Å³/atom. The size of the total moment comes out at 0.00 μB/f.u. Its crystal system is monoclinic. The calculation puts the energy above the most stable polymorph in this dataset at 0.00 kcal/mol of atoms.

***

(7)
VASP calculation (PBE) on a geometry-optimized Nd2YIn3 structure.

a = 3.761 Å, b = 6.613 Å, c = 14.799 Å
α = 90.00°, β = 97.30°, γ = 90.00°
Fractional positions:
Nd 0.994 0.750 0.989
Nd 0.006 0.250 0.011
Nd 0.154 0.750 0.307
Nd 0.846 0.250 0.693
In 0.422 0.489 0.845
In 0.578 0.511 0.155
In 0.422 0.011 0.845
In 0.255 0.250 0.509
In 0.745 0.750 0.491
In 0.578 0.989 0.155
Y 0.331 0.750 0.662
Y 0.669 0.250 0.338

Properties
The calculation puts the formation energy at -0.315 eV/atom. Its space-group type is No. 63. For the volume, the calculation gives 30.4 Å³/atom. The size of the total moment comes out at 0.00 μB/f.u. Its crystal system is orthorhombic. The calculation puts the energy above the most stable polymorph in this dataset at 4.24 kcal/mol of atoms.

***

(8)
VASP calculation (PBE) on a geometry-optimized NdYIn structure.

a = 3.460 Å, b = 8.374 Å, c = 6.153 Å
α = 90.00°, β = 90.00°, γ = 90.00°
Fractional positions:
Y 0.000 0.119 0.750
Y 0.000 0.881 0.250
Nd 0.000 0.500 0.000
Nd 0.000 0.500 0.500
In 0.500 0.205 0.250
In 0.500 0.795 0.750

Properties
The calculation puts the formation energy at -0.214 eV/atom. Its space-group type is No. 51. For the volume, the calculation gives 29.7 Å³/atom. The size of the total moment comes out at 0.00 μB/f.u. Its crystal system is orthorhombic. The calculation puts the energy above the most stable polymorph in this dataset at 3.56 kcal/mol of atoms.

***

(9)
VASP calculation (PBE) on a geometry-optimized Nd2Y3In4 structure.

a = 7.126 Å, b = 9.142 Å, c = 9.080 Å
α = 90.00°, β = 113.10°, γ = 90.00°
Fractional positions:
In 0.184 0.960 0.369
In 0.283 0.250 0.066
In 0.816 0.040 0.631
In 0.717 0.750 0.934
In 0.217 0.750 0.934
In 0.783 0.250 0.066
In 0.316 0.460 0.631
In 0.684 0.540 0.369
Nd 0.109 0.577 0.218
Nd 0.609 0.923 0.218
Nd 0.891 0.423 0.782
Nd 0.391 0.077 0.782
Y 0.467 0.250 0.433
Y 0.000 0.000 0.000
Y 0.500 0.500 0.000
Y 0.033 0.750 0.567
Y 0.533 0.750 0.567
Y 0.967 0.250 0.433

Properties
The calculation puts the formation energy at -0.320 eV/atom. Its space-group type is No. 64. For the volume, the calculation gives 30.2 Å³/atom. The size of the total moment comes out at 0.00 μB/f.u. Its crystal system is orthorhombic. The calculation puts the energy above the most stable polymorph in this dataset at 2.38 kcal/mol of atoms.

***

(10)
VASP calculation (PBE) on a geometry-optimized NdYIn structure.

a = 3.736 Å, b = 5.296 Å, c = 5.296 Å
α = 120.00°, β = 90.00°, γ = 90.00°
Fractional positions:
Y 0.920 0.000 0.000
In 0.716 0.667 0.333
Nd 0.365 0.333 0.667

Properties
The calculation puts the formation energy at -0.250 eV/atom. Its space-group type is No. 156. For the volume, the calculation gives 30.2 Å³/atom. The size of the total moment comes out at 0.00 μB/f.u. Its crystal system is trigonal. The calculation puts the energy above the most stable polymorph in this dataset at 2.73 kcal/mol of atoms.

***

(11)
VASP calculation (PBE) on a geometry-optimized Nd5Y8In structure.

a = 8.628 Å, b = 8.628 Å, c = 8.628 Å
α = 103.53°, β = 122.16°, γ = 103.53°
Fractional positions:
Y 0.043 0.503 0.961
Y 0.580 0.660 0.240
Y 0.580 0.340 0.920
Y 0.760 0.340 0.420
Y 0.460 0.918 0.957
Y 0.458 0.497 0.540
Y 0.080 0.660 0.420
Y 0.039 0.082 0.542
In 0.250 0.500 0.750
Nd 0.917 0.198 0.113
Nd 0.500 0.000 0.500
Nd 0.282 0.196 0.083
Nd 0.887 0.804 0.085
Nd 0.915 0.802 0.718

Properties
The calculation puts the formation energy at 0.114 eV/atom. Its space-group type is No. 82. For the volume, the calculation gives 34.0 Å³/atom. The size of the total moment comes out at 0.00 μB/f.u. Its crystal system is tetragonal.

***

(12)
VASP calculation (PBE) on a geometry-optimized Nd2Y3In4 structure.

a = 5.343 Å, b = 5.339 Å, c = 10.465 Å
α = 90.07°, β = 90.00°, γ = 59.98°
Fractional positions:
In 0.334 0.333 0.102
In 0.000 0.000 0.649
In 0.000 0.000 0.351
In 0.666 0.667 0.898
Y 0.000 0.000 0.000
Y 0.333 0.333 0.425
Y 0.667 0.667 0.575
Nd 0.667 0.666 0.220
Nd 0.333 0.334 0.780

Properties
The calculation puts the formation energy at -0.423 eV/atom. Its space-group type is No. 12. For the volume, the calculation gives 28.7 Å³/atom. The size of the total moment comes out at 0.00 μB/f.u. Its crystal system is monoclinic. The calculation puts the energy above the most stable polymorph in this dataset at 0.00 kcal/mol of atoms.